1.
TcGeTe2N: optimized geometry, GGA-PBE.

```
TcGeTe2N
1.0
5.578 0.000 0.000
0.000 5.578 0.000
0.000 0.000 3.479
Ge Te Tc N
1 2 1 1
Direct
0.000 0.000 0.000
0.500 0.000 0.000
0.000 0.500 0.000
0.500 0.500 0.500
0.000 0.000 0.500
```

Computed properties:
Size of the total moment, μB per formula unit: 3.1
Symmetry: P4/mmm

---

2.
TcGeTe2N: optimized geometry, GGA-PBE.

```
TcGeTe2N
1.0
5.456 0.000 0.000
0.000 5.456 0.000
0.000 0.000 3.707
Te N Ge Tc
2 1 1 1
Direct
0.000 0.500 0.000
0.500 0.000 0.000
0.000 0.000 0.500
0.500 0.500 0.500
0.000 0.000 0.000
```

Computed properties:
Size of the total moment, μB per formula unit: 0.0
Symmetry: P4/mmm

---

3.
ThTc2GeN: optimized geometry, GGA-PBE.

```
ThTc2GeN
1.0
3.901 0.000 0.000
-1.951 5.687 0.000
0.000 0.000 7.461
N Ge Tc Th
2 2 4 2
Direct
0.000 0.000 0.000
0.000 0.000 0.500
0.266 0.532 0.250
0.734 0.468 0.750
0.835 0.670 0.441
0.835 0.670 0.059
0.165 0.330 0.559
0.165 0.330 0.941
0.453 0.906 0.750
0.547 0.094 0.250
```

Computed properties:
Size of the total moment, μB per formula unit: 0.0
Symmetry: Cmcm

---

Short version: formation energy (no corrections) = 107, 32, -59 kJ/mol of atoms, in the order given.